Here is a relaxed Sm2GeRu crystal from the Alexandria database. Energies are from PBE-GGA.

extended XYZ file:
```
4
Lattice="3.534 0.000 0.000 0.000 3.534 0.000 0.000 0.000 7.289" Properties=species:S:1:pos:R:3 pbc="T T T"
Sm 0.000 0.000 1.700
Sm 0.000 0.000 5.589
Ge 1.767 1.767 3.645
Ru 1.767 1.767 0.000
```

## Properties
* space-group type: No. 123
* ΔE_f: -40.4 kJ/mol of atoms
* M_tot: 0.00 μB/f.u.